# 1
This record from Alexandria via LeMat-Bulk describes a relaxed AcPrTlZn crystal. The functional is PBE-GGA.

Unit cell a=5.5781 b=5.5781 c=5.5781 alpha=60.00 beta=60.00 gamma=60.00
With the nearest neighbours (Å) after each atom.
Positions (direct):
Pr  0.7500  0.7500  0.7500  4 Zn 3.42, 4 Tl 3.42
Zn  0.0000  0.0000  0.0000  4 Ac 3.42, 4 Pr 3.42
Ac  0.2500  0.2500  0.2500  4 Tl 3.42, 4 Zn 3.42
Tl  0.5000  0.5000  0.5000  4 Pr 3.42, 4 Ac 3.42

Values from the calculation:
ΔE to the lowest computed polymorph = 0.031 eV/atom
D(E_F) = 1.33 states/eV per atom
Space-group type = No. 216
Total moment = 0.00 Bohr magnetons per cell

=====

# 2
This record from Alexandria via LeMat-Bulk describes a relaxed Ac3Pr2Tl4Zn2 crystal. The functional is PBE-GGA.

Unit cell a=5.0148 b=5.0148 c=16.7546 alpha=90.00 beta=90.00 gamma=120.00
With the nearest neighbours (Å) after each atom.
Positions (direct):
Ac  0.0000  0.0000  0.7566  6 Tl 3.46-3.58, 3 Zn 3.68
Ac  0.0000  0.0000  0.0000  6 Zn 3.41, 6 Tl 3.51
Ac  0.0000  0.0000  0.2434  6 Tl 3.46-3.58, 3 Zn 3.68
Pr  0.6667  0.3333  0.4319  3 Tl 3.16
Pr  0.3333  0.6667  0.5681  3 Tl 3.16
Tl  0.6667  0.3333  0.1180  3 Zn 2.90
Tl  0.3333  0.6667  0.8820  3 Zn 2.90
Tl  0.6667  0.3333  0.6438  3 Pr 3.16, 3 Ac 3.46
Tl  0.3333  0.6667  0.3562  3 Pr 3.16, 3 Ac 3.46
Zn  0.6667  0.3333  0.8923  3 Tl 2.90
Zn  0.3333  0.6667  0.1077  3 Tl 2.90

Values from the calculation:
D(E_F) = 1.09 states/eV per atom
Space-group type = No. 164
Calculated total energy = -3.28 eV/atom
Total moment = 0.00 Bohr magnetons per cell

=====

# 3
This record from Alexandria via LeMat-Bulk describes a relaxed Ac3Pr3Tl2Zn crystal. The functional is PBE-GGA.

Unit cell a=3.9926 b=9.4233 c=9.4233 alpha=120.00 beta=90.00 gamma=90.00
With the nearest neighbours (Å) after each atom.
Positions (direct):
Ac  0.5000  0.7362  0.0000  2 Zn 3.19, 2 Tl 3.51
Ac  0.5000  0.0000  0.7362  2 Zn 3.19, 2 Tl 3.51
Ac  0.5000  0.2638  0.2638  2 Zn 3.19, 2 Tl 3.51
Pr  0.0000  0.5999  0.5999  4 Tl 3.50, 6 Ac 3.74-3.87, 1 Zn 3.77
Pr  0.0000  0.0000  0.4001  4 Tl 3.50, 6 Ac 3.74-3.87, 1 Zn 3.77
Pr  0.0000  0.4001  0.0000  4 Tl 3.50, 6 Ac 3.74-3.87, 1 Zn 3.77
Tl  0.5000  0.6667  0.3333  6 Pr 3.50, 3 Ac 3.51
Tl  0.5000  0.3333  0.6667  6 Pr 3.50, 3 Ac 3.51
Zn  0.0000  0.0000  0.0000  6 Ac 3.19

Values from the calculation:
D(E_F) = 1.09 states/eV per atom
Space-group type = No. 189
Calculated total energy = -3.84 eV/atom
Total moment = 0.00 Bohr magnetons per cell

=====

# 4
This record from Alexandria via LeMat-Bulk describes a relaxed AcPrTlZn crystal. The functional is PBE-GGA.

Unit cell a=3.8859 b=3.8859 c=7.9976 alpha=90.00 beta=90.00 gamma=90.00
With the nearest neighbours (Å) after each atom.
Positions (direct):
Ac  0.0000  0.0000  0.8361  4 Zn 3.40, 4 Tl 3.60, 1 Pr 3.66
Pr  0.0000  0.0000  0.3789  4 Zn 3.21, 4 Tl 3.41
Tl  0.5000  0.5000  0.1266  4 Pr 3.41, 4 Ac 3.60, 1 Zn 3.68
Zn  0.5000  0.5000  0.5864  4 Pr 3.21, 4 Ac 3.40

Values from the calculation:
ΔE to the lowest computed polymorph = 0.000 eV/atom
D(E_F) = 0.88 states/eV per atom
Space-group type = No. 99
Total moment = 0.00 Bohr magnetons per cell

=====

# 5
This record from Alexandria via LeMat-Bulk describes a relaxed AcPr9Tm2 crystal. The functional is PBE-GGA.

Unit cell a=5.2257 b=5.2257 c=15.7248 alpha=90.00 beta=90.00 gamma=90.00
With the nearest neighbours (Å) after each atom.
Positions (direct):
Ac  0.0000  0.0000  0.0000  12 Pr 3.70-3.79
Pr  0.5000  0.5000  0.0000  4 Ac 3.70, 8 Pr 3.79
Pr  0.5000  0.5000  0.3389  8 Pr 3.64-3.68, 4 Tm 3.70
Pr  0.5000  0.5000  0.6611  8 Pr 3.64-3.68, 4 Tm 3.70
Pr  0.5000  0.0000  0.1746  2 Tm 3.66, 8 Pr 3.68-3.79, 2 Ac 3.79
Pr  0.5000  0.0000  0.5000  8 Pr 3.64-3.70, 4 Tm 3.66
Pr  0.5000  0.0000  0.8254  2 Tm 3.66, 8 Pr 3.68-3.79, 2 Ac 3.79
Pr  0.0000  0.5000  0.1746  2 Tm 3.66, 8 Pr 3.68-3.79, 2 Ac 3.79
Pr  0.0000  0.5000  0.5000  8 Pr 3.64-3.70, 4 Tm 3.66
Pr  0.0000  0.5000  0.8254  2 Tm 3.66, 8 Pr 3.68-3.79, 2 Ac 3.79
Tm  0.0000  0.0000  0.3372  12 Pr 3.66-3.70
Tm  0.0000  0.0000  0.6628  12 Pr 3.66-3.70

Values from the calculation:
D(E_F) = 1.79 states/eV per atom
Space-group type = No. 123
Calculated total energy = -4.65 eV/atom
Total moment = 0.00 Bohr magnetons per cell

=====

# 6
This record from Alexandria via LeMat-Bulk describes a relaxed Ac2PrTm crystal. The functional is PBE-GGA.

Unit cell a=6.0385 b=6.0385 c=6.0385 alpha=60.00 beta=60.00 gamma=60.00
With the nearest neighbours (Å) after each atom.
Positions (direct):
Pr  0.0000  0.0000  0.0000  8 Ac 3.70
Ac  0.2500  0.2500  0.2500  4 Pr 3.70, 4 Tm 3.70
Ac  0.7500  0.7500  0.7500  4 Pr 3.70, 4 Tm 3.70
Tm  0.5000  0.5000  0.5000  8 Ac 3.70

Values from the calculation:
ΔE to the lowest computed polymorph = 0.074 eV/atom
D(E_F) = 2.03 states/eV per atom
Space-group type = No. 225
Total moment = 0.00 Bohr magnetons per cell

=====

# 7
This record from Alexandria via LeMat-Bulk describes a relaxed AcPr10Tm6 crystal. The functional is PBE-GGA.

Unit cell a=6.9776 b=9.9438 c=9.9438 alpha=120.00 beta=90.00 gamma=90.00
With the nearest neighbours (Å) after each atom.
Positions (direct):
Ac  0.5000  0.0000  0.0000  6 Pr 3.65, 6 Tm 3.84
Pr  0.8293  0.7150  0.7150  5 Tm 3.47-3.63, 1 Ac 3.65, 4 Pr 3.70-3.77
Pr  0.8293  0.0000  0.2850  5 Tm 3.47-3.63, 1 Ac 3.65, 4 Pr 3.70-3.77
Pr  0.8293  0.2850  0.0000  5 Tm 3.47-3.63, 1 Ac 3.65, 4 Pr 3.70-3.77
Pr  0.1707  0.2850  0.2850  5 Tm 3.47-3.63, 1 Ac 3.65, 4 Pr 3.70-3.77
Pr  0.1707  0.0000  0.7150  5 Tm 3.47-3.63, 1 Ac 3.65, 4 Pr 3.70-3.77
Pr  0.1707  0.7150  0.0000  5 Tm 3.47-3.63, 1 Ac 3.65, 4 Pr 3.70-3.77
Pr  0.5000  0.3333  0.6667  6 Tm 3.40, 2 Pr 3.49
Pr  0.5000  0.6667  0.3333  6 Tm 3.40, 2 Pr 3.49
Pr  0.0000  0.6667  0.3333  8 Pr 3.49-3.77, 6 Tm 3.88
Pr  0.0000  0.3333  0.6667  8 Pr 3.49-3.77, 6 Tm 3.88
Tm  0.6780  0.3656  0.3656  7 Pr 3.40-3.63, 1 Tm 3.65
Tm  0.6780  0.0000  0.6344  7 Pr 3.40-3.63, 1 Tm 3.65
Tm  0.6780  0.6344  0.0000  7 Pr 3.40-3.63, 1 Tm 3.65
Tm  0.3220  0.6344  0.6344  7 Pr 3.40-3.63, 1 Tm 3.65
Tm  0.3220  0.0000  0.3656  7 Pr 3.40-3.63, 1 Tm 3.65
Tm  0.3220  0.3656  0.0000  7 Pr 3.40-3.63, 1 Tm 3.65

Values from the calculation:
D(E_F) = 1.60 states/eV per atom
Space-group type = No. 162
Calculated total energy = -4.50 eV/atom
Total moment = 0.00 Bohr magnetons per cell

=====

# 8
This record from Alexandria via LeMat-Bulk describes a relaxed Ac2Pr3Tm crystal. The functional is PBE-GGA.

Unit cell a=5.3491 b=11.8687 c=8.4200 alpha=114.87 beta=108.52 gamma=90.00
With the nearest neighbours (Å) after each atom.
Positions (direct):
Ac  0.5365  0.8702  0.0729  4 Pr 3.71-3.80, 4 Tm 3.72-3.84, 4 Ac 3.75-3.86
Ac  0.4635  0.1298  0.9271  4 Pr 3.71-3.80, 4 Tm 3.72-3.84, 4 Ac 3.75-3.86
Ac  0.2087  0.8705  0.4173  4 Pr 3.71-3.83, 3 Tm 3.76-3.84, 5 Ac 3.83-3.86
Ac  0.7913  0.1295  0.5827  4 Pr 3.71-3.83, 3 Tm 3.76-3.84, 5 Ac 3.83-3.86
Pr  0.0462  0.3810  0.0924  8 Pr 3.68-3.82, 1 Tm 3.73, 3 Ac 3.78-3.83
Pr  0.9538  0.6190  0.9076  8 Pr 3.68-3.82, 1 Tm 3.73, 3 Ac 3.78-3.83
Pr  0.7090  0.3769  0.4179  8 Pr 3.68-3.76, 2 Ac 3.71, 2 Tm 3.76
Pr  0.2910  0.6231  0.5821  8 Pr 3.68-3.76, 2 Ac 3.71, 2 Tm 3.76
Pr  0.6253  0.6215  0.2506  8 Pr 3.69-3.82, 3 Ac 3.76-3.80, 1 Tm 3.77
Pr  0.3747  0.3785  0.7494  8 Pr 3.69-3.82, 3 Ac 3.76-3.80, 1 Tm 3.77
Tm  0.1252  0.1285  0.2505  7 Ac 3.72-3.84, 4 Pr 3.73-3.77, 1 Tm 3.81
Tm  0.8748  0.8715  0.7495  7 Ac 3.72-3.84, 4 Pr 3.73-3.77, 1 Tm 3.81

Values from the calculation:
D(E_F) = 1.44 states/eV per atom
Space-group type = No. 12
Calculated total energy = -4.47 eV/atom
Total moment = 0.00 Bohr magnetons per cell